Entry 1:
Entry from Alexandria via LeMat-Bulk: an optimized crystal structure of Li3NiAs3 (GGA-PBE).

Cell lengths 9.6826, 4.0693, 12.6631 Å; angles 90.00, 109.85, 90.00 degrees
Closest atoms and distances in Å follow each position.
Space group C2/m (No. 12)
Inequivalent atoms, fractional coordinates:
Li (0.0291, 0.0000, 0.3814) x4  6 As 2.70-2.89, 4 Ni 2.83-2.91
Li (0.0872, 0.0000, 0.9130) x4  7 As 2.79-2.88, 1 Li 3.01
Li (0.2330, 0.0000, 0.2296) x4  6 As 2.64-2.87
Ni (0.2414, 0.5000, 0.4058) x4  4 As 2.33-2.38
As (0.0303, 0.5000, 0.2419) x4  1 Ni 2.37, 1 As 2.49
As (0.1193, 0.5000, 0.0789) x4  2 As 2.49, 2 Li 2.75
As (0.1353, 0.5000, 0.5502) x4  3 Ni 2.33-2.38, 1 As 2.49

## Properties
Its uncorrected energy is -4.128 eV per atom. The value obtained for the formation energy from the elements is -489 meV per atom.



Entry 2:
Entry from Alexandria via LeMat-Bulk: an optimized crystal structure of Li2Ni5As4 (GGA-PBE).

Cell lengths 5.0760, 9.3218, 14.4607 Å; angles 90.00, 90.00, 90.00 degrees
Closest atoms and distances in Å follow each position.
Space group Fmmm (No. 69)
Inequivalent atoms, fractional coordinates:
Li (0.0000, 0.0000, 0.1048) x8  6 As 2.95-3.20, 6 Ni 2.96-3.06, 1 Li 3.03
Ni (0.0000, 0.0000, 0.5000) x4  4 As 2.36
Ni (0.2500, 0.2500, 0.0000) x8  4 As 2.39, 4 Ni 2.54-2.65
Ni (0.2500, 0.2500, 0.2500) x8  4 As 2.35, 2 Ni 2.54
As (0.0000, 0.1584, 0.3731) x16  5 Ni 2.35-2.39

## Properties
Its uncorrected energy is -4.945 eV per atom. The value obtained for the formation energy from the elements is -278 meV per atom.



Entry 3:
Entry from Alexandria via LeMat-Bulk: an optimized crystal structure of LiNiAs (GGA-PBE).

Cell lengths 4.0415, 4.0415, 2.9231 Å; angles 90.00, 90.00, 120.00 degrees
Closest atoms and distances in Å follow each position.
Space group P-6m2 (No. 187)
Inequivalent atoms, fractional coordinates:
Li (0.0000, 0.0000, 0.0000) x1  6 Ni 2.75, 6 As 2.75, 2 Li 2.92
Ni (0.3333, 0.6667, 0.5000) x1  3 As 2.33
As (0.6667, 0.3333, 0.5000) x1  3 Ni 2.33

## Properties
Its uncorrected energy is -4.521 eV per atom. The value obtained for the formation energy from the elements is -406 meV per atom.



Entry 4:
Entry from Alexandria via LeMat-Bulk: an optimized crystal structure of Li4NiAs (GGA-PBE).

Cell lengths 6.7710, 6.7710, 6.7710 Å; angles 90.00, 90.00, 90.00 degrees
Closest atoms and distances in Å follow each position.
Space group F-43m (No. 216)
Inequivalent atoms, fractional coordinates:
Li (0.1246, 0.1246, 0.1246) x16  6 Li 2.39-2.40
Ni (0.2500, 0.2500, 0.7500) x4  12 Li 2.81, 4 As 2.93
As (0.0000, 0.0000, 0.5000) x4  12 Li 2.81, 4 Ni 2.93

## Properties
Its uncorrected energy is -3.017 eV per atom. The value obtained for the formation energy from the elements is -3 meV per atom.